# Hf6Al3Zn (PBE, relaxed)
data_Hf6Al3Zn
_chemical_formula_sum 'Hf12 Al6 Zn2'
_cell_length_a 5.635
_cell_length_b 7.831
_cell_length_c 10.904
_cell_angle_alpha 90.00
_cell_angle_beta 120.81
_cell_angle_gamma 90.00
_symmetry_space_group_name_H-M 'P 1 21/c 1'
_symmetry_Int_Tables_number 14
_symmetry_space_group_name_Hall '-P 2ybc'
loop_
_atom_site_label
_atom_site_type_symbol
_atom_site_fract_x
_atom_site_fract_y
_atom_site_fract_z
Hf1 Hf 0.056 0.171 0.454
Hf2 Hf 0.354 0.673 0.452
Hf3 Hf 0.436 0.073 0.252
Al1 Al 0.000 0.000 0.000
Al2 Al 0.112 0.108 0.752
Zn1 Zn 0.500 0.000 0.500
# total DFT energy (no corrections) = -7.248 eV/atom
# ρ = 9.782 g cm⁻³
# magnetization = 0.000 μB per cell
# formation energy = -0.03 eV per atom
# DOS at the Fermi energy = 6.7 states/eV/f.u.


# Hf6AlZn (PBE, relaxed)
data_Hf6AlZn
_chemical_formula_sum 'Hf6 Al1 Zn1'
_cell_length_a 6.107
_cell_length_b 6.107
_cell_length_c 4.333
_cell_angle_alpha 90.00
_cell_angle_beta 90.00
_cell_angle_gamma 90.00
_symmetry_space_group_name_H-M 'P 4/m m m'
_symmetry_Int_Tables_number 123
_symmetry_space_group_name_Hall '-P 4 2'
loop_
_atom_site_label
_atom_site_type_symbol
_atom_site_fract_x
_atom_site_fract_y
_atom_site_fract_z
Hf1 Hf 0.000 0.500 0.000
Hf2 Hf 0.249 0.249 0.500
Al1 Al 0.000 0.000 0.000
Zn1 Zn 0.500 0.500 0.000
# total DFT energy (no corrections) = -8.254 eV/atom
# ρ = 11.955 g cm⁻³
# magnetization = 0.000 μB per cell
# energy above the lowest structure with this stoichiometry = 0 kJ/mol of formula units
# formation energy = -0.16 eV per atom
# DOS at the Fermi energy = 7.1 states/eV/f.u.


# Hf2Al6Zn (PBE, relaxed)
data_Hf2Al6Zn
_chemical_formula_sum 'Hf4 Al12 Zn2'
_cell_length_a 13.158
_cell_length_b 4.061
_cell_length_c 6.319
_cell_angle_alpha 90.00
_cell_angle_beta 110.58
_cell_angle_gamma 90.00
_symmetry_space_group_name_H-M 'C 1 2/m 1'
_symmetry_Int_Tables_number 12
_symmetry_space_group_name_Hall '-C 2y'
loop_
_atom_site_label
_atom_site_type_symbol
_atom_site_fract_x
_atom_site_fract_y
_atom_site_fract_z
Hf1 Hf 0.055 0.000 0.323
Al1 Al 0.104 0.500 0.671
Al2 Al 0.170 0.000 0.001
Al3 Al 0.220 0.500 0.355
Zn1 Zn 0.000 0.500 0.000
# total DFT energy (no corrections) = -5.063 eV/atom
# ρ = 6.138 g cm⁻³
# magnetization = 0.000 μB per cell
# formation energy = -0.21 eV per atom
# DOS at the Fermi energy = 3.5 states/eV/f.u.


# Hf5Al12Zn3 (PBE, relaxed)
data_Hf5Al12Zn3
_chemical_formula_sum 'Hf40 Al96 Zn24'
_cell_length_a 15.678
_cell_length_b 15.678
_cell_length_c 15.678
_cell_angle_alpha 90.00
_cell_angle_beta 90.00
_cell_angle_gamma 90.00
_symmetry_space_group_name_H-M 'I a -3 d'
_symmetry_Int_Tables_number 230
_symmetry_space_group_name_Hall '-I 4bd 2c 3'
loop_
_atom_site_label
_atom_site_type_symbol
_atom_site_fract_x
_atom_site_fract_y
_atom_site_fract_z
Hf1 Hf 0.000 0.000 0.000
Hf2 Hf 0.000 0.250 0.375
Al1 Al 0.004 0.086 0.650
Zn1 Zn 0.000 0.250 0.125
# total DFT energy (no corrections) = -4.269 eV/atom
# ρ = 4.869 g cm⁻³
# magnetization = 0.005 μB per cell
# formation energy = 0.66 eV per atom
# DOS at the Fermi energy = 16.9 states/eV/f.u.


# HfAlZn (PBE, relaxed)
data_HfAlZn
_chemical_formula_sum 'Hf2 Al2 Zn2'
_cell_length_a 3.040
_cell_length_b 3.040
_cell_length_c 11.268
_cell_angle_alpha 90.00
_cell_angle_beta 90.00
_cell_angle_gamma 90.00
_symmetry_space_group_name_H-M 'I 4 m m'
_symmetry_Int_Tables_number 107
_symmetry_space_group_name_Hall 'I 4 -2'
loop_
_atom_site_label
_atom_site_type_symbol
_atom_site_fract_x
_atom_site_fract_y
_atom_site_fract_z
Hf1 Hf 0.000 0.000 0.000
Al1 Al 0.000 0.000 0.323
Zn1 Zn 0.000 0.000 0.676
# total DFT energy (no corrections) = -5.190 eV/atom
# ρ = 8.637 g cm⁻³
# magnetization = 0.000 μB per cell
# formation energy = -0.20 eV per atom
# DOS at the Fermi energy = 2.1 states/eV/f.u.


# Hf4Al5Zn2 (PBE, relaxed)
data_Hf4Al5Zn2
_chemical_formula_sum 'Hf4 Al5 Zn2'
_cell_length_a 7.074
_cell_length_b 3.035
_cell_length_c 9.272
_cell_angle_alpha 90.00
_cell_angle_beta 94.58
_cell_angle_gamma 90.00
_symmetry_space_group_name_H-M 'P 1 2/m 1'
_symmetry_Int_Tables_number 10
_symmetry_space_group_name_Hall '-P 2y'
loop_
_atom_site_label
_atom_site_type_symbol
_atom_site_fract_x
_atom_site_fract_y
_atom_site_fract_z
Hf1 Hf 0.162 0.000 0.390
Hf2 Hf 0.284 0.000 0.944
Al1 Al 0.197 0.500 0.667
Al2 Al 0.428 0.500 0.206
Al3 Al 0.500 0.500 0.500
Zn1 Zn 0.057 0.500 0.134
# total DFT energy (no corrections) = -5.882 eV/atom
# ρ = 8.200 g cm⁻³
# magnetization = 0.000 μB per cell
# formation energy = -0.33 eV per atom
# DOS at the Fermi energy = 4.9 states/eV/f.u.